A plane-wave DFT calculation with PBE was carried out for LaCdPd6 after structural relaxation.

Calculated values
- Symmetry: No. 200
- D(E_F): 2.62 states/eV per cell
- DFT formation energy: -0.352 eV/atom

a = 5.260 Å, b = 5.260 Å, c = 5.260 Å
α = 90.00°, β = 90.00°, γ = 90.00°
Element x y z (fractional)
Pd1 0.246 0.000 0.500
Cd1 0.000 0.000 0.000
Pd2 0.500 0.246 0.000
La1 0.500 0.500 0.500
Pd3 0.754 0.000 0.500
Pd4 0.000 0.500 0.754
Pd5 0.000 0.500 0.246
Pd6 0.500 0.754 0.000